# 1
Entry from Alexandria: an optimized crystal structure of LaDyZn (PBE-GGA).

Results
Energy relative to the elements ... -0.05 eV per atom
Space group ... P-6m2, No. 187
E above lowest polymorph ... 144.7 meV per atom

abc: 5.1186 5.1186 3.7508
angles: 90.00 90.00 120.00
Closest atoms and distances in Å follow each position.
Sites, in units of the cell vectors:
La  0.0000  0.0000  0.0000  6 Zn 3.50, 6 Dy 3.50, 2 La 3.75
Dy  0.3333  0.6667  0.5000  3 Zn 2.96
Zn  0.6667  0.3333  0.5000  3 Dy 2.96

# 2
Entry from Alexandria: an optimized crystal structure of LaNdSb2 (PBE-GGA).

Results
Space group ... R3m, No. 160
E above lowest polymorph ... 112.7 meV per atom
Formation energy without anion corrections ... -4.5 eV per formula unit

abc: 8.2361 8.2361 8.2361
angles: 31.83 31.83 31.83
Closest atoms and distances in Å follow each position.
Sites, in units of the cell vectors:
La  0.0000  0.0000  0.0000  6 Sb 3.26-3.33
Nd  0.1710  0.1710  0.1710  6 Sb 3.20-3.25
Sb  0.5831  0.5831  0.5831  3 Nd 3.20, 3 La 3.26
Sb  0.7548  0.7548  0.7548  3 Nd 3.25, 3 La 3.33

Short version: ρ = 7.16 6.34 Mg/m³, in the order given.